Compound: As12Os3Rh5
Source: Alexandria via LeMat-Bulk
Functional: PBE-GGA
Structure: relaxed

abc: 14.487 14.487 14.487
angles: 90.00 90.00 90.00
Space group Ia-3d (No. 230)
Symmetry-distinct sites (fractional):
As1 0.019 0.076 0.652
Os1 0.000 0.250 0.125
Rh1 0.000 0.000 0.000
Rh2 0.000 0.250 0.375

Output
ΔE_f, meV/atom: 30.0
Calculated volume, Å³/f.u.: 380.04
Theoretical density, g/cm³: 8.670